# 1
First-principles (GGA-PBE) data for a geometry-optimized NdTcC structure, as listed in the Alexandria database.

Computed properties:
**Spin magnetization**: 0.000 μB/f.u.
**E_form**: 65 meV/atom
**DFT total energy**: -24.16 eV/cell
**Energy relative to the lowest polymorph listed for this composition**: 137 meV per atom

Cell: 3.5374 3.5374 4.7092 Å, 90.00 90.00 120.00°
Last column: nearest neighbours and their distance in Å.
Space group P-6m2 (No. 187)
Symmetry-distinct sites (fractional):
Nd  0.0000  0.0000  0.0000 x1  6 Tc 3.12, 6 C 3.12
Tc  0.6667  0.3333  0.5000 x1  3 C 2.04
C  0.3333  0.6667  0.5000 x1  3 Tc 2.04

# 2
First-principles (GGA-PBE) data for a geometry-optimized NdTcC structure, as listed in the Alexandria database.

Computed properties:
**Spin magnetization**: 0.000 μB/f.u.
**E_form**: -73 meV/atom
**DFT total energy**: -49.15 eV/cell
**Energy relative to the lowest polymorph listed for this composition**: 0 meV per atom

Cell: 3.4241 4.0622 8.5954 Å, 90.00 90.00 90.00°
Last column: nearest neighbours and their distance in Å.
Space group Pmmn (No. 59, origin choice 2)
Symmetry-distinct sites (fractional):
Nd  0.2500  0.2500  0.1883 x2  2 C 2.53
Tc  0.2500  0.2500  0.5477 x2  4 C 2.07-2.10
C  0.2500  0.7500  0.5944 x2  4 Tc 2.07-2.10

# 3
First-principles (GGA-PBE) data for a geometry-optimized Nd2Tc2C3 structure, as listed in the Alexandria database.

Computed properties:
**Spin magnetization**: 0.000 μB/f.u.
**E_form**: -214 meV/atom
**DFT total energy**: -118.88 eV/cell

Cell: 12.0446 3.4329 5.8746 Å, 90.00 116.60 90.00°
Last column: nearest neighbours and their distance in Å.
Space group C2/m (No. 12)
Symmetry-distinct sites (fractional):
Nd  0.1059  0.0000  0.3133 x4  5 C 2.49-2.66
Tc  0.1614  0.5000  0.8183 x4  4 C 2.01-2.12
C  0.0000  0.5000  0.5000 x2  2 Tc 2.01
C  0.2496  0.0000  0.7780 x4  3 Tc 2.09-2.12

# 4
First-principles (GGA-PBE) data for a geometry-optimized NdTcC2 structure, as listed in the Alexandria database.

Computed properties:
**Spin magnetization**: 0.000 μB/f.u.
**E_form**: -65 meV/atom
**DFT total energy**: -67.68 eV/cell
**Energy relative to the lowest polymorph listed for this composition**: 0 meV per atom

Cell: 4.0914 4.8393 6.0828 Å, 90.00 90.00 90.00°
Last column: nearest neighbours and their distance in Å.
Space group Amm2 (No. 38)
Symmetry-distinct sites (fractional):
Nd  0.0000  0.0000  0.0000 x2  4 C 2.70
Tc  0.5000  0.0000  0.5910 x2  4 C 2.00-2.11
C  0.5000  0.1480  0.2641 x4  1 C 1.43

# 5
First-principles (GGA-PBE) data for a geometry-optimized NdTc2C structure, as listed in the Alexandria database.

Computed properties:
**Spin magnetization**: 0.000 μB/f.u.
**E_form**: 195 meV/atom
**DFT total energy**: -135.77 eV/cell

Cell: 3.0646 10.7880 7.9242 Å, 90.00 90.00 90.00°
Last column: nearest neighbours and their distance in Å.
Space group Cmcm (No. 63)
Symmetry-distinct sites (fractional):
Nd  0.0000  0.0677  0.2500 x4  3 C 2.75-3.06, 2 Nd 3.06
Tc  0.0000  0.3352  0.0766 x8  2 C 2.07
C  0.0000  0.1870  0.7500 x4  4 Tc 2.07

# 6
First-principles (GGA-PBE) data for a geometry-optimized Nd2Tc3C4 structure, as listed in the Alexandria database.

Computed properties:
**Spin magnetization**: 0.001 μB/f.u.
**E_form**: 498 meV/atom
**DFT total energy**: -292.18 eV/cell

Cell: 5.7470 8.8117 10.8999 Å, 90.00 90.00 90.00°
Last column: nearest neighbours and their distance in Å.
Space group Fmmm (No. 69)
Symmetry-distinct sites (fractional):
Nd  0.0000  0.0000  0.1676 x8  4 C 2.72-2.88
Tc  0.0000  0.0000  0.5000 x4  4 C 2.10
Tc  0.2500  0.2500  0.0000 x8  4 C 2.11
C  0.0000  0.1770  0.3716 x16  3 Tc 2.10-2.11

# 7
First-principles (GGA-PBE) data for a geometry-optimized Nd2TcC3 structure, as listed in the Alexandria database.

Computed properties:
**Spin magnetization**: 0.000 μB/f.u.
**E_form**: 9 meV/atom
**DFT total energy**: -190.09 eV/cell

Cell: 11.8200 6.2836 5.6548 Å, 90.00 90.00 90.00°
Last column: nearest neighbours and their distance in Å.
Space group Cmcm (No. 63)
Symmetry-distinct sites (fractional):
Nd  0.1487  0.2376  0.2500 x8  4 C 2.50-2.79
Tc  0.0000  0.2972  0.7500 x4  4 C 1.90-1.94
C  0.0000  0.5000  0.0000 x4  2 Tc 1.90
C  0.1467  0.1603  0.7500 x8  1 Tc 1.94

# 8
First-principles (GGA-PBE) data for a geometry-optimized NdTh2TcC4 structure, as listed in the Alexandria database.

Computed properties:
**Spin magnetization**: 0.000 μB/f.u.
**E_form**: -32 meV/atom
**DFT total energy**: -268.50 eV/cell

Cell: 3.6600 12.3336 12.6748 Å, 90.00 90.00 90.00°
Last column: nearest neighbours and their distance in Å.
Space group Cmcm (No. 63)
Symmetry-distinct sites (fractional):
Nd  0.0000  0.0984  0.2500 x4  6 C 2.89-2.95
Th  0.0000  0.3681  0.0415 x8  6 C 2.50-2.72
Tc  0.0000  0.1682  0.7500 x4  4 C 1.91-2.08
C  0.0000  0.0000  0.0000 x4  4 Th 2.50
C  0.0000  0.2656  0.6330 x8  1 Tc 1.91
C  0.0000  0.4113  0.2500 x4  2 Tc 2.08

# 9
First-principles (GGA-PBE) data for a geometry-optimized Nd2Zn2Tc2C structure, as listed in the Alexandria database.

Computed properties:
**Spin magnetization**: 0.000 μB/f.u.
**E_form**: -250 meV/atom
**DFT total energy**: -87.58 eV/cell

Cell: 10.7194 3.8957 7.4352 Å, 90.00 121.49 90.00°
Last column: nearest neighbours and their distance in Å.
Space group C2/m (No. 12)
Symmetry-distinct sites (fractional):
Nd  0.0708  0.0000  0.2827 x4  2 C 2.67
Zn  0.1299  0.5000  0.6593 x4  1 Zn 2.54, 3 Tc 2.66-2.72
Tc  0.2046  0.5000  0.0619 x4  1 C 1.99
C  0.0000  0.5000  0.0000 x2  2 Tc 1.99

# 10
First-principles (GGA-PBE) data for a geometry-optimized Nd4TeC structure, as listed in the Alexandria database.

Computed properties:
**Uncorrected formation energy**: -2.80 eV/f.u.
**Spin magnetization**: 0.000 μB/f.u.
**DFT total energy**: -136.97 eV/cell
**Energy relative to the lowest polymorph listed for this composition**: 0 meV per atom

Cell: 8.7235 14.5439 6.5827 Å, 90.00 122.44 90.00°
Last column: nearest neighbours and their distance in Å.
Space group C2/c (No. 15)
Symmetry-distinct sites (fractional):
Nd  0.1373  0.2024  0.1535 x8  1 C 2.54
Nd  0.2114  0.0494  0.7017 x8  2 C 2.54-2.66
Te  0.0000  0.3881  0.7500 x4  8 Nd 3.16-3.52
C  0.0000  0.0682  0.2500 x4  6 Nd 2.54-2.66

# 11
First-principles (GGA-PBE) data for a geometry-optimized Nd12Te5C2 structure, as listed in the Alexandria database.

Computed properties:
**Uncorrected formation energy**: -13.17 eV/f.u.
**Spin magnetization**: 0.357 μB/f.u.
**DFT total energy**: -209.07 eV/cell

Cell: 17.2909 7.8601 9.4054 Å, 90.00 106.74 90.00°
Last column: nearest neighbours and their distance in Å.
Space group C2/m (No. 12)
Symmetry-distinct sites (fractional):
Nd  0.0010  0.0000  0.1736 x4  2 C 2.63
Nd  0.0049  0.5000  0.1936 x4  2 C 2.59
Nd  0.1420  0.2543  0.5599 x8  4 Te 3.09-3.22
Nd  0.1514  0.2427  0.0793 x8  1 C 2.51
Te  0.0000  0.0000  0.5000 x2  6 Nd 3.07-3.09
Te  0.1849  0.5000  0.8403 x4  7 Nd 3.18-3.32
Te  0.2055  0.5000  0.3522 x4  7 Nd 3.16-3.36
C  0.0000  0.2628  0.0000 x4  6 Nd 2.51-2.63

# 12
First-principles (GGA-PBE) data for a geometry-optimized Nd6Te2C3 structure, as listed in the Alexandria database.

Computed properties:
**Uncorrected formation energy**: -6.63 eV/f.u.
**Spin magnetization**: 0.003 μB/f.u.
**DFT total energy**: -138.38 eV/cell

Cell: 6.7022 11.6312 7.8542 Å, 90.00 106.83 90.00°
Last column: nearest neighbours and their distance in Å.
Space group C2/m (No. 12)
Symmetry-distinct sites (fractional):
Nd  0.2254  0.1706  0.1864 x8  3 C 2.54-2.66
Nd  0.2351  0.5000  0.1791 x4  3 C 2.56-2.68
Te  0.0000  0.1646  0.5000 x4  6 Nd 3.24-3.25
C  0.0000  0.0000  0.0000 x2  6 Nd 2.56-2.66
C  0.0000  0.3274  0.0000 x4  6 Nd 2.54-2.68

# 13
First-principles (GGA-PBE) data for a geometry-optimized Nd2TeC structure, as listed in the Alexandria database.

Computed properties:
**Uncorrected formation energy**: -1.42 eV/f.u.
**Spin magnetization**: 0.000 μB/f.u.
**DFT total energy**: -93.28 eV/cell

Cell: 7.6009 14.5595 3.9355 Å, 90.00 90.00 90.00°
Last column: nearest neighbours and their distance in Å.
Space group Cmcm (No. 63)
Symmetry-distinct sites (fractional):
Nd  0.2094  0.1052  0.2500 x8  2 C 2.57
Te  0.0000  0.2999  0.2500 x4  6 Nd 3.25-3.27
C  0.0000  0.0732  0.7500 x4  4 Nd 2.57

# 14
First-principles (GGA-PBE) data for a geometry-optimized Nd3Te3C structure, as listed in the Alexandria database.

Computed properties:
**Uncorrected formation energy**: -6.69 eV/f.u.
**Spin magnetization**: 0.000 μB/f.u.
**DFT total energy**: -158.55 eV/cell

Cell: 8.6404 13.1054 7.8433 Å, 90.00 101.37 90.00°
Last column: nearest neighbours and their distance in Å.
Space group C2/m (No. 12)
Symmetry-distinct sites (fractional):
Nd  0.1002  0.0000  0.3260 x4  2 C 2.31-2.44
Nd  0.2166  0.3518  0.2306 x8  1 C 2.34
Te  0.0000  0.1673  0.0000 x4  6 Nd 3.33-3.36
Te  0.0000  0.2704  0.5000 x4  4 Nd 3.27-3.31
Te  0.0905  0.5000  0.8667 x4  1 Te 2.85
C  0.1600  0.0000  0.6436 x4  4 Nd 2.31-2.44

# 15
First-principles (GGA-PBE) data for a geometry-optimized Nd8Te2C3 structure, as listed in the Alexandria database.

Computed properties:
**Uncorrected formation energy**: -6.21 eV/f.u.
**Spin magnetization**: 0.000 μB/f.u.
**DFT total energy**: -156.61 eV/cell

Cell: 15.6164 7.5410 6.6488 Å, 90.00 105.73 90.00°
Last column: nearest neighbours and their distance in Å.
Space group C2/m (No. 12)
Symmetry-distinct sites (fractional):
Nd  0.0930  0.0000  0.3941 x4  3 C 2.58-2.63
Nd  0.0926  0.2406  0.8866 x8  2 C 2.56-2.59
Nd  0.0934  0.5000  0.4136 x4  2 C 2.55
Te  0.2465  0.5000  0.1767 x4  6 Nd 3.20-3.29
C  0.0000  0.0000  0.0000 x2  6 Nd 2.56-2.63
C  0.0000  0.2482  0.5000 x4  6 Nd 2.55-2.59

# 16
First-principles (GGA-PBE) data for a geometry-optimized Nd6TeC2 structure, as listed in the Alexandria database.

Computed properties:
**Uncorrected formation energy**: -1.68 eV/f.u.
**Spin magnetization**: 0.000 μB/f.u.
**DFT total energy**: -207.50 eV/cell

Cell: 15.2862 9.7183 7.1093 Å, 90.00 100.54 90.00°
Last column: nearest neighbours and their distance in Å.
Space group C2/c (No. 15)
Symmetry-distinct sites (fractional):
Nd  0.1094  0.1349  0.1671 x8  1 C 2.46
Nd  0.1358  0.4675  0.9048 x8  2 C 2.43-2.66
Nd  0.1973  0.1720  0.6708 x8  1 C 2.48
Te  0.0000  0.1683  0.7500 x4  6 Nd 3.14-3.49
C  0.2409  0.4170  0.6532 x8  4 Nd 2.43-2.66

# 17
First-principles (GGA-PBE) data for a geometry-optimized Nd4Te3C structure, as listed in the Alexandria database.

Computed properties:
**Uncorrected formation energy**: -7.31 eV/f.u.
**Spin magnetization**: 0.000 μB/f.u.
**DFT total energy**: -90.06 eV/cell
**Energy relative to the lowest polymorph listed for this composition**: 170 meV per atom

Cell: 9.5478 9.3738 6.2303 Å, 90.00 90.00 90.00°
Last column: nearest neighbours and their distance in Å.
Space group Pmn2_1 (No. 31)
Symmetry-distinct sites (fractional):
Nd  0.0000  0.0682  0.0000 x2  1 C 2.43
Nd  0.0000  0.8134  0.5391 x2  1 C 2.47
Nd  0.2145  0.6888  0.0078 x4  1 C 2.40
Te  0.0000  0.1367  0.5049 x2  5 Nd 3.04-3.21
Te  0.2145  0.3461  0.0115 x4  5 Nd 3.11-3.31
C  0.0000  0.8124  0.9350 x2  4 Nd 2.40-2.47

# 18
First-principles (GGA-PBE) data for a geometry-optimized Nd4Te3C structure, as listed in the Alexandria database.

Computed properties:
**Uncorrected formation energy**: -8.67 eV/f.u.
**Spin magnetization**: 0.000 μB/f.u.
**DFT total energy**: -92.77 eV/cell
**Energy relative to the lowest polymorph listed for this composition**: 0 meV per atom

Cell: 8.8821 12.4080 4.2296 Å, 90.00 90.00 90.00°
Last column: nearest neighbours and their distance in Å.
Space group Cmmm (No. 65)
Symmetry-distinct sites (fractional):
Nd  0.0000  0.2118  0.0000 x4  1 C 2.63
Nd  0.2041  0.0000  0.5000 x4  2 C 2.79
Te  0.0000  0.5000  0.0000 x2  6 Nd 3.37-3.58
Te  0.2500  0.2500  0.5000 x4  6 Nd 3.10-3.13
C  0.0000  0.0000  0.0000 x2  6 Nd 2.63-2.79

# 19
First-principles (GGA-PBE) data for a geometry-optimized Nd6Te2C structure, as listed in the Alexandria database.

Computed properties:
**Uncorrected formation energy**: -5.86 eV/f.u.
**Spin magnetization**: 0.001 μB/f.u.
**DFT total energy**: -99.95 eV/cell

Cell: 6.5974 8.0296 11.8235 Å, 90.00 121.84 90.00°
Last column: nearest neighbours and their distance in Å.
Space group P2_1/c (No. 14)
Symmetry-distinct sites (fractional):
Nd  0.1335  0.0215  0.2482 x4  1 C 2.59
Nd  0.1819  0.7092  0.0439 x4  1 C 2.55
Nd  0.3668  0.1701  0.0350 x4  1 C 2.61
Te  0.3232  0.1079  0.7464 x4  8 Nd 3.20-3.39
C  0.0000  0.0000  0.0000 x2  6 Nd 2.55-2.61

# 20
First-principles (GGA-PBE) data for a geometry-optimized Nd4Te2C structure, as listed in the Alexandria database.

Computed properties:
**Uncorrected formation energy**: -5.32 eV/f.u.
**Spin magnetization**: 1.228 μB/f.u.
**DFT total energy**: -79.81 eV/cell

Cell: 16.1332 4.0223 7.1969 Å, 90.00 116.24 90.00°
Last column: nearest neighbours and their distance in Å.
Space group C2/m (No. 12)
Symmetry-distinct sites (fractional):
Nd  0.0983  0.0000  0.2441 x4  2 C 2.68
Nd  0.1045  0.5000  0.8123 x4  1 C 2.58
Te  0.2392  0.0000  0.7309 x4  6 Nd 3.14-3.25
C  0.0000  0.5000  0.0000 x2  6 Nd 2.58-2.68